Li2Mn3GaO8: optimized geometry, PBEsol.

Calculated values
For the total energy, the calculation gives -104.784 eV for the cell shown. Its space group is R-3m, No. 166.

Unit cell a=5.8010 b=5.8010 c=5.8010 alpha=58.64 beta=58.64 gamma=58.64
Element x y z (fractional)
Li1 0.1233 0.1233 0.1233
Li2 0.8767 0.8767 0.8767
Mn1 0.5000 0.5000 0.0000
Mn2 0.0000 0.5000 0.5000
Mn3 0.5000 0.0000 0.5000
Ga1 0.5000 0.5000 0.5000
O1 0.2633 0.2633 0.2633
O2 0.2575 0.7129 0.2575
O3 0.2575 0.2575 0.7129
O4 0.7129 0.2575 0.2575
O5 0.7425 0.7425 0.2871
O6 0.2871 0.7425 0.7425
O7 0.7425 0.2871 0.7425
O8 0.7367 0.7367 0.7367